Run one
# VCrC

A relaxed VCrC crystal (PBE-GGA, Alexandria via LeMat-Bulk).

Results
SG: P2_1/c, No. 14
M_tot: 0.0 μB per cell
DOS at the Fermi energy: 0.735 states/eV per atom
volume: 10.4 A^3/atom
calculated density: 6.12 g cm⁻³

Unit cell a=4.4419 b=4.9525 c=5.6696 alpha=90.00 beta=91.85 gamma=90.00
Positions (direct):
V: 0.2565 0.5794 0.8826
C: 0.4953 0.2526 0.3713
Cr: 0.7570 0.4244 0.6138
C: 0.5047 0.7474 0.6287
C: 0.9953 0.2474 0.8713
C: 0.0047 0.7526 0.1287
V: 0.2435 0.0794 0.6174
V: 0.7435 0.4206 0.1174
Cr: 0.7430 0.9244 0.8862
V: 0.7565 0.9206 0.3826
Cr: 0.2570 0.0756 0.1138
Cr: 0.2430 0.5756 0.3862

Run two
# VCrC

A relaxed VCrC crystal (PBE-GGA, Alexandria via LeMat-Bulk).

Results
SG: I4mm, No. 107
M_tot: 0.0 μB per cell
DOS at the Fermi energy: 0.390 states/eV per atom
volume: 9.9 A^3/atom
calculated density: 6.42 g cm⁻³

Unit cell a=2.5651 b=2.5651 c=4.8662 alpha=105.28 beta=105.28 gamma=90.00
Positions (direct):
V: 0.0309 0.0309 0.0618
C: 0.6777 0.6777 0.3555
Cr: 0.2913 0.2913 0.5827

The energetic minimum among the shown structures is run one; the next structure lies 0.455 eV/atom above.